{
  "formula": "K4BaTi6S20O",
  "functional": "PBE",
  "state": "relaxed",
  "lattice_angstrom": [[0.0000, 7.8523, 16.4735], [5.7188, 0.0000, 16.4735], [5.7188, 7.8523, 0.0000]],
  "species": ["K", "K", "K", "K", "K", "K", "K", "K", "Ba", "Ba", "Ti", "Ti", "Ti", "Ti", "Ti", "Ti", "Ti", "Ti", "Ti", "Ti", "Ti", "Ti", "S", "S", "S", "S", "S", "S", "S", "S", "S", "S", "S", "S", "S", "S", "S", "S", "S", "S", "S", "S", "S", "S", "S", "S", "S", "S", "S", "S", "S", "S", "S", "S", "S", "S", "S", "S", "S", "S", "S", "S", "O", "O"],
  "frac_coords": [[0.0000, 0.0000, 0.0000], [0.0808, 0.0808, 0.4192], [0.1619, 0.1619, 0.8381], [0.2500, 0.2500, 0.2500], [0.4119, 0.4119, 0.0881], [0.6595, 0.6595, 0.3405], [0.8308, 0.8308, 0.1692], [0.9095, 0.9095, 0.5905], [0.4969, 0.4969, 0.5031], [0.7469, 0.7469, 0.7531], [0.1394, 0.4215, 0.8610], [0.1839, 0.4761, 0.5222], [0.2378, 0.5205, 0.7611], [0.3890, 0.6720, 0.1106], [0.4215, 0.1394, 0.5780], [0.4321, 0.7278, 0.7739], [0.4761, 0.1839, 0.8179], [0.4889, 0.7694, 0.0122], [0.5205, 0.2378, 0.4806], [0.6720, 0.3890, 0.8285], [0.7278, 0.4321, 0.0661], [0.7694, 0.4889, 0.7295], [0.0125, 0.5845, 0.4193], [0.0122, 0.6529, 0.7605], [0.0221, 0.2930, 0.5627], [0.0344, 0.4060, 0.0608], [0.0799, 0.6426, 0.3548], [0.1278, 0.6873, 0.9570], [0.1373, 0.3739, 0.6498], [0.1550, 0.7246, 0.7442], [0.1892, 0.7512, 0.2156], [0.2192, 0.7859, 0.3659], [0.2306, 0.4231, 0.9916], [0.2584, 0.8953, 0.0194], [0.2662, 0.8307, 0.6655], [0.2930, 0.0221, 0.1222], [0.3118, 0.4980, 0.4777], [0.3273, 0.8952, 0.6074], [0.3739, 0.1373, 0.8390], [0.4060, 0.0344, 0.4988], [0.4110, 0.6002, 0.8761], [0.4231, 0.2306, 0.3547], [0.4895, 0.6756, 0.2378], [0.4980, 0.3118, 0.7126], [0.5058, 0.8737, 0.0950], [0.5374, 0.7723, 0.7520], [0.5845, 0.0125, 0.9838], [0.6002, 0.4110, 0.1127], [0.6210, 0.8841, 0.4641], [0.6426, 0.0799, 0.9227], [0.6529, 0.0122, 0.5744], [0.6756, 0.4895, 0.5971], [0.6873, 0.1278, 0.2279], [0.7246, 0.1550, 0.3763], [0.7512, 0.1892, 0.8440], [0.7723, 0.5374, 0.9382], [0.7859, 0.2192, 0.6290], [0.8307, 0.2662, 0.2375], [0.8737, 0.5058, 0.5254], [0.8841, 0.6210, 0.0308], [0.8953, 0.2584, 0.8269], [0.8952, 0.3273, 0.1701], [0.3302, 0.3302, 0.6698], [0.5802, 0.5802, 0.9198]],
  "e_form_raw_ev_per_atom": -1.239
}